(1)
Here is crystalline K2ZrCu at its relaxed geometry from Alexandria via LeMat-Bulk. Energies are from PBEsol.

Cell and atoms, written as extended XYZ:
```
4
Lattice="5.682 0.000 0.000 2.841 4.920 0.000 2.841 1.640 4.639" Properties=species:S:1:pos:R:3 pbc="T T T"
Cu 0.000 0.000 0.000
K 2.841 1.640 1.160
K 8.522 4.920 3.479
Zr 5.682 3.280 2.319
```

Results
Spin magnetization, μB/atom: 0.81
DOS(E_F), states/eV per cell: 8.0
Energy above the lowest structure with this stoichiometry, eV per atom: 0.378
Space group: Fm-3m, No. 225
DFT formation energy, eV per atom: 1.420


(2)
Here is crystalline CaNi2Se2 at its relaxed geometry from Alexandria via LeMat-Bulk. Energies are from PBEsol.

Cell and atoms, written as extended XYZ:
```
5
Lattice="-1.884 -2.797 1.804 2.997 -2.327 -0.478 1.638 4.347 4.398" Properties=species:S:1:pos:R:3 pbc="T T T"
Ni 2.595 -0.271 2.291
Ni 0.155 -0.506 3.432
Ca 0.000 0.000 0.000
Se 1.616 1.315 3.728
Se 1.134 -2.092 1.995
```

Results
Spin magnetization, μB/atom: 0.00
DOS(E_F), states/eV per cell: 4.0
Space group: I4/mmm, No. 139
E_form (uncorrected), meV/atom: -744.1


(3)
Here is crystalline ScAsRu2 at its relaxed geometry from Alexandria via LeMat-Bulk. Energies are from PBEsol.

Cell and atoms, written as extended XYZ:
```
4
Lattice="2.896 0.000 0.021 0.000 4.206 0.000 -0.412 0.000 4.970" Properties=species:S:1:pos:R:3 pbc="T T T"
As -0.206 2.103 2.485
Ru 2.030 0.000 3.671
Ru 0.453 0.000 1.321
Sc 1.448 2.103 0.011
```

Results
Spin magnetization, μB/atom: 0.00
DOS(E_F), states/eV per cell: 2.7
Space group: P2/m, No. 10
DFT formation energy, eV per atom: -0.214


(4)
Here is crystalline SrIn2Br at its relaxed geometry from Alexandria via LeMat-Bulk. Energies are from PBEsol.

Cell and atoms, written as extended XYZ:
```
4
Lattice="-0.486 1.679 -3.404 -0.099 -4.265 -2.089 -6.454 -0.243 0.802" Properties=species:S:1:pos:R:3 pbc="T T T"
Sr -3.470 0.718 -1.301
Br -3.276 -2.254 -0.644
In 0.000 0.000 0.000
In -0.293 -1.293 -2.747
```

Results
Spin magnetization, μB/atom: 0.00
DOS(E_F), states/eV per cell: 2.0
Energy above the lowest structure with this stoichiometry, eV per atom: 0.020
Space group: Pmmm, No. 47
E_form (uncorrected), meV/atom: -682.5


(5)
Here is crystalline HSe3S at its relaxed geometry from Alexandria via LeMat-Bulk. Energies are from PBEsol.

Cell and atoms, written as extended XYZ:
```
5
Lattice="-1.250 1.590 4.358 4.185 -1.560 1.770 2.001 4.257 -0.979" Properties=species:S:1:pos:R:3 pbc="T T T"
H 2.468 2.143 2.574
S 0.000 0.000 0.000
Se 2.093 -0.780 0.885
Se 1.000 2.129 -0.490
Se -0.625 0.795 2.179
```

Results
Spin magnetization, μB/atom: 0.13
DOS(E_F), states/eV per cell: 5.1
Calculated total energy, eV per atom: -2.81
Space group: Pm-3m, No. 221


(6)
Here is crystalline As2WCl at its relaxed geometry from Alexandria via LeMat-Bulk. Energies are from PBEsol.

Cell and atoms, written as extended XYZ:
```
4
Lattice="2.814 0.000 0.000 0.000 4.627 0.000 -1.407 -2.313 5.616" Properties=species:S:1:pos:R:3 pbc="T T T"
As 1.407 2.313 2.232
As 0.000 0.000 3.384
W 0.000 2.313 0.000
Cl 1.407 0.000 0.000
```

Results
Spin magnetization, μB/atom: 0.00
DOS(E_F), states/eV per cell: 2.9
Energy above the lowest structure with this stoichiometry, eV per atom: 0.444
Space group: Immm, No. 71
E_form (uncorrected), meV/atom: 457.2


Number 1: volume 32.420 A^3/atom. Number 2: volume 16.959 A^3/atom. Number 3: volume 15.144 A^3/atom. Number 4: volume 29.574 A^3/atom. Number 5: volume 22.182 A^3/atom. Number 6: volume 18.283 A^3/atom.